Record 1
Material: PaGaClO4
Method: DFT, GGA-PBE
State: optimized geometry

a = 6.180 Å, b = 6.180 Å, c = 6.799 Å
α = 101.34°, β = 101.34°, γ = 68.03°
Fractional coordinates of all 14 atoms:
Pa  0.229  0.229  0.110
Pa  0.771  0.771  0.890
Ga  0.372  0.372  0.712
Ga  0.628  0.628  0.288
Cl  0.013  0.013  0.759
Cl  0.987  0.987  0.241
O  0.117  0.501  0.863
O  0.293  0.293  0.440
O  0.443  0.443  0.233
O  0.499  0.883  0.137
O  0.501  0.117  0.863
O  0.557  0.557  0.767
O  0.707  0.707  0.560
O  0.883  0.499  0.137

Values from the calculation:
* Fermi-level density of states: 0.094 states/eV/atom
* size of the total moment: 1.007 μB/f.u.
* crystal system: monoclinic
* calculated volume: 233.95 Å³ per cell
* symmetry: C2/m
* total DFT energy (no corrections): -7.134 eV per atom
* energy relative to the elements, uncorrected: -2.248 eV per atom

Record 2
Material: GaReClO2
Method: DFT, GGA-PBE
State: optimized geometry

a = 3.717 Å, b = 3.717 Å, c = 5.772 Å
α = 90.00°, β = 90.00°, γ = 90.00°
Fractional coordinates of all 5 atoms:
Ga  0.000  0.000  0.000
Re  0.000  0.000  0.500
Cl  0.500  0.500  0.500
O  0.000  0.500  0.000
O  0.500  0.000  0.000

Values from the calculation:
* Fermi-level density of states: 0.646 states/eV/atom
* size of the total moment: 4.513 μB/f.u.
* crystal system: tetragonal
* calculated volume: 79.74 Å³ per cell
* symmetry: P4/mmm
* total DFT energy (no corrections): -5.062 eV per atom
* energy relative to the elements, uncorrected: 0.385 eV per atom

Record 3
Material: GaReCl6O2
Method: DFT, GGA-PBE
State: optimized geometry

a = 12.491 Å, b = 8.782 Å, c = 11.817 Å
α = 90.00°, β = 107.51°, γ = 90.00°
Fractional coordinates of all 40 atoms:
Ga  0.248  0.145  0.125
Ga  0.248  0.355  0.625
Ga  0.752  0.645  0.375
Ga  0.752  0.855  0.875
Re  0.257  0.728  0.126
Re  0.257  0.772  0.626
Re  0.743  0.228  0.374
Re  0.743  0.272  0.874
Cl  0.101  0.730  0.682
Cl  0.101  0.770  0.182
Cl  0.120  0.224  0.668
Cl  0.120  0.276  0.168
Cl  0.170  0.532  0.483
Cl  0.170  0.968  0.983
Cl  0.327  0.528  0.770
Cl  0.327  0.972  0.270
Cl  0.376  0.229  0.579
Cl  0.376  0.271  0.079
Cl  0.409  0.703  0.571
Cl  0.409  0.797  0.071
Cl  0.591  0.203  0.929
Cl  0.591  0.297  0.429
Cl  0.624  0.729  0.921
Cl  0.624  0.771  0.421
Cl  0.673  0.028  0.730
Cl  0.673  0.472  0.230
Cl  0.830  0.032  0.017
Cl  0.830  0.468  0.517
Cl  0.880  0.724  0.832
Cl  0.880  0.776  0.332
Cl  0.899  0.230  0.818
Cl  0.899  0.270  0.318
O  0.198  0.609  0.010
O  0.198  0.891  0.510
O  0.325  0.611  0.241
O  0.325  0.889  0.741
O  0.675  0.111  0.259
O  0.675  0.389  0.759
O  0.802  0.109  0.490
O  0.802  0.391  0.990

Values from the calculation:
* Fermi-level density of states: 0.000 states/eV/atom
* size of the total moment: 0.106 μB/f.u.
* crystal system: monoclinic
* calculated volume: 1236.16 Å³ per cell
* symmetry: P2_1/c
* total DFT energy (no corrections): -4.678 eV per atom
* energy relative to the elements, uncorrected: -1.031 eV per atom

Record 4
Material: Ga2RhClO
Method: DFT, GGA-PBE
State: optimized geometry

a = 5.431 Å, b = 5.431 Å, c = 3.697 Å
α = 90.00°, β = 90.00°, γ = 90.00°
Fractional coordinates of all 5 atoms:
Ga  0.000  0.500  0.000
Ga  0.500  0.000  0.000
Rh  0.000  0.000  0.500
Cl  0.500  0.500  0.500
O  0.000  0.000  0.000

Values from the calculation:
* Fermi-level density of states: 0.490 states/eV/atom
* size of the total moment: 0.000 μB/f.u.
* crystal system: tetragonal
* calculated volume: 109.05 Å³ per cell
* symmetry: P4/mmm
* total DFT energy (no corrections): -4.221 eV per atom
* energy relative to the elements, uncorrected: -0.179 eV per atom

Copy entry 4 word for word.
Material: Ga2RhClO
Method: DFT, GGA-PBE
State: optimized geometry

a = 5.431 Å, b = 5.431 Å, c = 3.697 Å
α = 90.00°, β = 90.00°, γ = 90.00°
Fractional coordinates of all 5 atoms:
Ga  0.000  0.500  0.000
Ga  0.500  0.000  0.000
Rh  0.000  0.000  0.500
Cl  0.500  0.500  0.500
O  0.000  0.000  0.000

Values from the calculation:
* Fermi-level density of states: 0.490 states/eV/atom
* size of the total moment: 0.000 μB/f.u.
* crystal system: tetragonal
* calculated volume: 109.05 Å³ per cell
* symmetry: P4/mmm
* total DFT energy (no corrections): -4.221 eV per atom
* energy relative to the elements, uncorrected: -0.179 eV per atom

The highest total DFT energy (no corrections) belongs to which entry? Ga2RhClO

What is the total DFT energy (no corrections) in the second record? -5.062 eV per atom

What is the formula in the first record? PaGaClO4